VASP calculation (PBE-GGA) on an optimized crystal structure of CuAs2Os.

a = 7.826 Å, b = 7.826 Å, c = 7.826 Å
α = 22.64°, β = 22.64°, γ = 22.64°
Atoms (fractional coordinates):
As (0.002, 0.002, 0.002)
As (0.498, 0.498, 0.498)
Cu (0.250, 0.250, 0.250)
Os (0.750, 0.750, 0.750)

Values from the calculation:
- Total moment: 0.0 μB/cell
- DOS(E_F): 1.7 states/eV/f.u.
- Polymorph energy (0 for the lowest one): 0.15 eV/f.u.
- Final energy: -23.76 eV for the cell shown
- DFT formation energy: 0.215 eV per atom


VASP calculation (PBE-GGA) on an optimized crystal structure of CuAsOs2.

a = 4.308 Å, b = 4.308 Å, c = 4.952 Å
α = 80.35°, β = 80.35°, γ = 38.81°
Atoms (fractional coordinates):
As (0.750, 0.750, 0.750)
Cu (0.250, 0.250, 0.250)
Os (0.000, 0.000, 0.997)
Os (0.500, 0.500, 0.503)

Values from the calculation:
- Total moment: 0.0 μB/cell
- DOS(E_F): 3.2 states/eV/f.u.
- Final energy: -29.47 eV for the cell shown
- DFT formation energy: 0.434 eV per atom


VASP calculation (PBE-GGA) on an optimized crystal structure of CuAsOs2.

a = 3.988 Å, b = 2.846 Å, c = 5.295 Å
α = 74.45°, β = 90.00°, γ = 90.00°
Atoms (fractional coordinates):
As (0.000, 0.296, 0.530)
Cu (0.500, 0.699, 0.726)
Os (0.000, 0.056, 0.013)
Os (0.500, 0.448, 0.231)

Values from the calculation:
- Total moment: 0.0 μB/cell
- DOS(E_F): 3.4 states/eV/f.u.
- Final energy: -29.64 eV for the cell shown
- DFT formation energy: 0.392 eV per atom


VASP calculation (PBE-GGA) on an optimized crystal structure of CuAs2Os.

a = 3.784 Å, b = 3.790 Å, c = 5.715 Å
α = 90.46°, β = 90.00°, γ = 90.00°
Atoms (fractional coordinates):
As (0.000, 0.878, 0.897)
As (0.500, 0.372, 0.353)
Cu (0.000, 0.375, 0.626)
Os (0.500, 0.875, 0.625)

Values from the calculation:
- Total moment: 0.0 μB/cell
- DOS(E_F): 1.8 states/eV/f.u.
- Polymorph energy (0 for the lowest one): 0.00 eV/f.u.
- Final energy: -23.92 eV for the cell shown
- DFT formation energy: 0.176 eV per atom


VASP calculation (PBE-GGA) on an optimized crystal structure of Cu2AsOs.

a = 8.502 Å, b = 8.502 Å, c = 8.502 Å
α = 18.90°, β = 18.90°, γ = 18.90°
Last column: magnetic moment on the atom in μB.
Atoms (fractional coordinates):
As (0.750, 0.750, 0.750)  -0.01
Cu (0.001, 0.001, 0.001)  0.00
Cu (0.499, 0.499, 0.499)  0.00
Os (0.250, 0.250, 0.250)  0.09

Values from the calculation:
- Total moment: 0.1 μB/cell
- DOS(E_F): 3.6 states/eV/f.u.
- Final energy: -22.57 eV for the cell shown
- DFT formation energy: 0.374 eV per atom


VASP calculation (PBE-GGA) on an optimized crystal structure of CuAs2Os.

a = 5.622 Å, b = 5.622 Å, c = 6.651 Å
α = 65.00°, β = 65.00°, γ = 90.00°
Atoms (fractional coordinates):
As (0.632, 0.125, 0.250)
As (0.118, 0.625, 0.250)
As (0.375, 0.368, 0.750)
As (0.875, 0.882, 0.750)
Os (0.000, 0.000, 0.000)
Os (0.750, 0.250, 0.500)
Cu (0.500, 0.500, 0.000)
Cu (0.250, 0.750, 0.500)

Values from the calculation:
- Total moment: 0.0 μB/cell
- DOS(E_F): 2.1 states/eV/f.u.
- Polymorph energy (0 for the lowest one): 0.57 eV/f.u.
- Final energy: -46.69 eV for the cell shown
- DFT formation energy: 0.320 eV per atom


Question: Among the records above, which one has the highest DOS(E_F)?
Answer: Cu2AsOs